[1]
12
Lattice="4.5377 -3.0299 0.0000 4.5377 3.0299 0.0000 -0.3499 0.0000 7.3596" Properties=species:S:1:pos:R:3 comment="SrLiRe2O8, optimized geometry, DFT PBE-GGA" e_form_raw_mev_per_atom=-1937 crystal_system=monoclinic dft_energy_ev_per_atom=-7.62 pbc="T T T"
Sr 0.0000 0.0000 0.0000
Li -0.1749 0.0000 3.6798
Re 3.0015 0.0000 5.3644
Re 5.7241 0.0000 1.9952
O 1.8438 0.0000 4.0487
O 4.0199 1.4747 5.3315
O 2.1230 0.0000 6.9135
O 4.7057 1.4747 2.0281
O 4.0199 -1.4747 5.3315
O 6.6027 0.0000 0.4462
O 4.7057 -1.4747 2.0281
O 6.8818 0.0000 3.3109

[2]
5
Lattice="4.1046 0.0000 0.0000 0.0000 4.1046 0.0000 0.0000 0.0000 4.0813" Properties=species:S:1:pos:R:3 comment="LiRe2TcO, optimized geometry, DFT PBE-GGA" e_form_raw_mev_per_atom=2163 crystal_system=tetragonal dft_energy_ev_per_atom=-6.26 pbc="T T T"
Li 0.0000 0.0000 0.0000
Re 0.0000 2.0523 0.0000
Re 2.0523 0.0000 0.0000
Tc 0.0000 0.0000 2.0407
O 2.0523 2.0523 2.0407

[3]
18
Lattice="5.3469 0.0000 0.0000 -2.6735 4.6306 0.0000 0.0000 0.0000 9.3425" Properties=species:S:1:pos:R:3 comment="LiReTeO6, optimized geometry, DFT PBE-GGA" e_form_raw_mev_per_atom=-1369 crystal_system=trigonal dft_energy_ev_per_atom=-6.62 pbc="T T T"
Li 0.0000 0.0000 0.0000
Li 0.0000 0.0000 4.6712
Re 0.0000 3.0870 2.3356
Re 2.6735 1.5435 7.0069
Te 0.0000 3.0870 7.0069
Te 2.6735 1.5435 2.3356
O -0.8628 1.7322 1.2752
O -1.6047 3.0173 3.3960
O 0.8628 1.7322 3.3960
O -0.7419 4.5116 1.2752
O 1.9315 0.1189 5.9465
O 1.0688 1.6133 8.0673
O 1.6047 3.0173 1.2752
O 0.7419 4.5116 3.3960
O 3.4154 0.1189 8.0673
O 1.8107 2.8983 5.9465
O 4.2781 1.6133 5.9465
O 3.5362 2.8983 8.0673

[4]
10
Lattice="5.5239 0.0000 0.0000 0.0000 5.5239 0.0000 0.0000 0.0000 3.8473" Properties=species:S:1:pos:R:3 comment="Li2TiReO6, optimized geometry, DFT PBE-GGA" e_form_raw_mev_per_atom=-2090 crystal_system=tetragonal dft_energy_ev_per_atom=-7.48 pbc="T T T"
Li 0.0000 2.7619 0.0000
Li 2.7619 0.0000 0.0000
Ti 0.0000 0.0000 2.9010
Re 2.7619 2.7619 3.0166
O 0.0000 0.0000 1.1273
O 1.4107 1.4107 3.1038
O 1.4107 4.1132 3.1038
O 2.7619 2.7619 1.1533
O 4.1132 1.4107 3.1038
O 4.1132 4.1132 3.1038